First-principles (PBE) data for crystalline SnBiPd at its relaxed geometry, as listed in OQMD.

a b c (Å): 4.7487 4.7487 4.7487
angles (deg): 60.00 60.00 60.00
Atoms (fractional coordinates):
Bi: 0.2500 0.2500 0.2500
Pd: 0.0000 0.0000 0.0000
Sn: 0.7500 0.7500 0.7500

energy above the lowest structure with this stoichiometry	0.0	meV per atom